DFT (GGA-PBE) results for a relaxed structure of BaHg2BiSb.

For the raw formation energy, the calculation gives -371 meV per atom.

It has space group Imm2 (No. 44), with a = 5.157 Å, b = 5.787 Å, c = 11.309 Å, α = 90.00°, β = 90.00° and γ = 90.00°. The asymmetric unit holds Ba at (0.000, 0.000, 0.000), Hg at (0.000, 0.000, 0.377), Hg at (0.000, 0.500, 0.286), Bi at (0.000, 0.500, 0.734) and Sb at (0.000, 0.000, 0.631).

DFT (GGA-PBE) results for a relaxed structure of Cr3Rh.

As for the formation enthalpy at 0 K: 0.0428 eV/atom. The energy above the lowest structure with this stoichiometry is 0.000 eV/atom.

It has space group P4/mmm (No. 123), with a = 2.880 Å, b = 2.880 Å, c = 6.062 Å, α = 90.00°, β = 90.00° and γ = 90.00°. The asymmetric unit holds Cr at (0.000, 0.000, 0.000), Cr at (0.500, 0.500, 0.223) and Rh at (0.000, 0.000, 0.500).

DFT (GGA-PBE) results for a relaxed structure of AlTlCd.

As for the formation enthalpy at 0 K: 0.1368 eV/atom.

It has space group P-1 (No. 2), with a = 3.235 Å, b = 4.870 Å, c = 9.994 Å, α = 95.48°, β = 90.39° and γ = 109.05°. The asymmetric unit holds Al at (0.136, 0.274, 0.436), Tl at (0.333, 0.702, 0.885) and Cd at (0.400, 0.801, 0.307).

DFT (GGA-PBE) results for a relaxed structure of SrAcIO6.

For the raw formation energy, the calculation gives -1837 meV per atom.

It has space group P-31c (No. 163), with a = 6.0540 Å, b = 6.0540 Å, c = 9.4163 Å, α = 90.00°, β = 90.00° and γ = 120.00°. The asymmetric unit holds Sr at (0.0000, 0.0000, 0.0000), Ac at (0.3333, 0.6667, 0.2500), I at (0.3333, 0.6667, 0.7500) and O at (0.0740, 0.4037, 0.6357).

DFT (GGA-PBE) results for a relaxed structure of Ti2CdC.

As for the formation enthalpy at 0 K: -0.5291 eV/atom. The energy above the lowest structure with this stoichiometry is 0.024 eV/atom.

It has space group R3m (No. 160, hexagonal axes), with a = 3.1033 Å, b = 3.1033 Å, c = 21.9080 Å, α = 90.00°, β = 90.00° and γ = 120.00°. The asymmetric unit holds Ti at (0.0000, 0.0000, 0.0000), Ti at (0.0000, 0.0000, 0.2309), Cd at (0.0000, 0.0000, 0.4487) and C at (0.0000, 0.0000, 0.6162).

DFT (GGA-PBE) results for a relaxed structure of KMo2W.

As for the formation enthalpy at 0 K: 0.9606 eV/atom. The energy above the lowest structure with this stoichiometry is 0.212 eV/atom.

It has space group Pmm2 (No. 25), with a = 3.175 Å, b = 3.763 Å, c = 8.170 Å, α = 90.00°, β = 90.00° and γ = 90.00°. The asymmetric unit holds K at (0.000, 0.000, 0.000), Mo at (0.000, 0.000, 0.502), Mo at (0.500, 0.500, 0.358) and W at (0.500, 0.500, 0.642).

DFT (GGA-PBE) results for a relaxed structure of Y2Tm2Tl3.

As for the formation enthalpy at 0 K: -0.2166 eV/atom. The energy above the lowest structure with this stoichiometry is 0.000 eV/atom.

It has space group Cmmm (No. 65), with a = 3.503 Å, b = 31.712 Å, c = 3.558 Å, α = 90.00°, β = 90.00° and γ = 90.00°. The asymmetric unit holds Y at (0.000, 0.069, 0.000), Tm at (0.000, 0.202, 0.000), Tl at (0.000, 0.363, 0.500) and Tl at (0.000, 0.500, 0.500).

DFT (GGA-PBE) results for a relaxed structure of Np3TaNb3N8.

For the raw formation energy, the calculation gives -1095 meV per atom.

It has space group R-3m (No. 166, hexagonal axes), with a = 6.3727 Å, b = 6.3727 Å, c = 16.2512 Å, α = 90.00°, β = 90.00° and γ = 120.00°. The asymmetric unit holds Np at (0.0000, 0.5000, 0.0000), Ta at (0.0000, 0.0000, 0.5000), Nb at (0.0000, 0.5000, 0.5000), N at (0.0000, 0.0000, 0.2429) and N at (0.0067, 0.5034, 0.2425).